DFT (PBE+U) results for crystalline K2MoBr4F2 at its relaxed geometry.

Summary:
SG ... C2/m
E ... -34.52 eV per cell
V ... 30.038 A^3/atom

Cell lengths 7.0476, 7.0476, 6.7000 Å; angles 112.41, 112.41, 65.75 degrees
Atoms (fractional coordinates):
K  0.2104  0.2104  0.2823
K  0.7896  0.7896  0.7177
Mo  0.5000  0.5000  0.0000
Br  0.1869  0.6726  0.1892
Br  0.3274  0.8131  0.8108
Br  0.6726  0.1869  0.1892
Br  0.8131  0.3274  0.8108
F  0.3315  0.3315  0.7323
F  0.6685  0.6685  0.2677